{"formula": "Sr3Co2Cu2S2O5", "functional": "PBE+U", "state": "relaxed", "lattice_angstrom": [[-3.795, 6.733, -11.539], [-4.598, 1.503, -13.018], [1.614, -3.984, 13.206]], "species": ["Sr", "Sr", "Sr", "S", "S", "Co", "Co", "O", "O", "O", "O", "O", "Cu", "Cu"], "frac_coords": [[0.500, 0.500, 0.000], [0.638, 0.638, 0.000], [0.362, 0.362, 0.000], [0.199, 0.199, 0.000], [0.801, 0.801, 0.000], [0.071, 0.071, 0.000], [0.929, 0.929, 0.000], [0.581, 0.081, 0.500], [0.081, 0.581, 0.500], [0.419, 0.919, 0.500], [0.919, 0.419, 0.500], [0.000, 0.000, 0.000], [0.750, 0.250, 0.500], [0.250, 0.750, 0.500]], "total_magnetization_mub_per_cell": 4.3, "total_energy_ev_per_atom": -5.53, "spacegroup": "I4/mmm"}